# 1
Here is a relaxed structure of SmYPa from Alexandria. Energies are from PBE-GGA.

Cell lengths 3.4108, 3.4108, 15.4506 Å; angles 90.00, 90.00, 90.00 degrees
With the nearest neighbours (Å) after each atom.
Space group I4mm (No. 107)
Asymmetric unit:
Sm: 0.0000 0.0000 0.0000 [2 per cell]  4 Pa 3.41, 4 Sm 3.41, 4 Y 3.79
Y: 0.0000 0.0000 0.3107 [2 per cell]  4 Pa 3.40, 4 Y 3.41, 4 Sm 3.79
Pa: 0.0000 0.0000 0.6558 [2 per cell]  4 Y 3.40, 4 Sm 3.41, 4 Pa 3.41

Output
* spin magnetization: 0.0 μB/f.u.
* energy of formation: 172 meV per atom

# 2
Here is a relaxed structure of IrPt2Cl from Alexandria. Energies are from PBE-GGA.

Cell lengths 8.9443, 2.8220, 6.5502 Å; angles 90.00, 98.79, 90.00 degrees
With the nearest neighbours (Å) after each atom.
Space group Cm (No. 8)
Asymmetric unit:
Ir: 0.0000 0.0000 0.0000 [2 per cell]  2 Cl 2.50, 5 Pt 2.59-2.64
Pt: 0.0070 0.5000 0.6612 [2 per cell]  1 Cl 2.38, 2 Ir 2.64
Pt: 0.2564 0.0000 0.8637 [2 per cell]  3 Ir 2.59-2.63, 5 Pt 2.77-2.82
Cl: 0.0614 0.5000 0.3166 [2 per cell]  1 Pt 2.38, 2 Ir 2.50

Output
* formation energy without anion corrections: 0.343 eV/atom
* spin magnetization: 0.0 μB/f.u.

# 3
Here is a relaxed structure of BeAg from Alexandria. Energies are from PBE-GGA.

Cell lengths 6.5616, 6.5616, 4.4806 Å; angles 90.00, 90.00, 120.00 degrees
With the nearest neighbours (Å) after each atom.
Space group P6_3/m (No. 176)
Asymmetric unit:
Be: 0.1345 0.6394 0.2500 [6 per cell]  2 Be 2.12
Ag: 0.1039 0.7868 0.7500 [6 per cell]  5 Be 2.43-2.66

Output
* spin magnetization: 0.0 μB/f.u.
* energy of formation: 313 meV per atom

# 4
Here is a relaxed structure of TlMo2Os from Alexandria. Energies are from PBE-GGA.

Cell lengths 2.8864, 2.8864, 28.8124 Å; angles 90.00, 90.00, 120.00 degrees
With the nearest neighbours (Å) after each atom.
Space group R3m (No. 160, hexagonal axes)
Asymmetric unit:
Tl: 0.0000 0.0000 0.0000 [3 per cell]  6 Tl 2.89, 3 Mo 3.05, 3 Os 3.08
Mo: 0.0000 0.0000 0.2445 [3 per cell]  9 Mo 2.89-2.90, 3 Tl 3.05
Mo: 0.0000 0.0000 0.4956 [3 per cell]  3 Os 2.67, 9 Mo 2.89-2.90
Os: 0.0000 0.0000 0.7567 [3 per cell]  3 Mo 2.67, 6 Os 2.89

Output
* spin magnetization: 0.0 μB/f.u.
* energy of formation: 611 meV per atom

# 5
Here is a relaxed structure of KMg2Si from Alexandria. Energies are from PBE-GGA.

Cell lengths 9.3205, 3.0234, 7.9172 Å; angles 90.00, 95.41, 90.00 degrees
With the nearest neighbours (Å) after each atom.
Space group Cm (No. 8)
Asymmetric unit:
K: 0.0000 0.0000 0.0000 [2 per cell]  2 K 3.02
Mg: 0.2252 0.0000 0.6444 [2 per cell]  5 Mg 3.00-3.12, 2 Si 3.02
Mg: 0.4766 0.0000 0.4336 [2 per cell]  3 Si 2.71-2.76, 3 Mg 3.00-3.02
Si: 0.2405 0.5000 0.3163 [2 per cell]  5 Mg 2.71-3.02, 2 Si 3.02

Output
* formation energy without anion corrections: 0.193 eV/atom
* spin magnetization: 0.0 μB/f.u.

# 6
Here is a relaxed structure of La2CdInIr from Alexandria. Energies are from PBE-GGA.

Cell lengths 5.4817, 5.4817, 5.2845 Å; angles 90.00, 90.00, 90.00 degrees
With the nearest neighbours (Å) after each atom.
Space group P4/mmm (No. 123)
Asymmetric unit:
La: 0.0000 0.5000 0.0000 [2 per cell]  2 Ir 2.74
Cd: 0.0000 0.0000 0.5000 [1 per cell]  2 Ir 2.64
In: 0.5000 0.5000 0.5000 [1 per cell]  8 La 3.81, 4 Cd 3.88
Ir: 0.0000 0.0000 0.0000 [1 per cell]  2 Cd 2.64, 4 La 2.74

Output
* spin magnetization: 0.0 μB/f.u.
* energy of formation: -399 meV per atom

# 7
Here is a relaxed structure of Ho4ErTm2 from Alexandria. Energies are from PBE-GGA.

Cell lengths 6.1210, 6.4218, 11.3439 Å; angles 90.00, 105.57, 90.00 degrees
With the nearest neighbours (Å) after each atom.
Space group P2_1/m (No. 11)
Asymmetric unit:
Ho: 0.0259 0.2500 0.3581 [2 per cell]  3 Er 3.29-3.40, 2 Ho 3.32, 3 Tm 3.32-3.50
Ho: 0.1415 0.2500 0.9428 [2 per cell]  1 Er 3.26, 4 Tm 3.36-3.37, 4 Ho 3.40-3.44
Ho: 0.3493 0.5023 0.2129 [4 per cell]  5 Ho 3.18-3.44, 1 Er 3.35, 2 Tm 3.44-3.53
Er: 0.1634 0.2500 0.6587 [2 per cell]  6 Ho 3.26-3.40, 1 Tm 3.39
Tm: 0.2948 0.7500 0.9290 [2 per cell]  9 Ho 3.32-3.53
Tm: 0.3907 0.7500 0.5017 [2 per cell]  6 Ho 3.35-3.59, 2 Er 3.39-3.66, 2 Tm 3.48

Output
* spin magnetization: 0.0 μB/f.u.
* energy of formation: 144 meV per atom

# 8
Here is a relaxed structure of Tb2Cd2Pd5 from Alexandria. Energies are from PBE-GGA.

Cell lengths 14.2056, 5.4331, 9.1496 Å; angles 90.00, 90.00, 90.00 degrees
With the nearest neighbours (Å) after each atom.
Space group Ima2 (No. 46)
Asymmetric unit:
Tb: 0.1264 0.0268 0.0000 [8 per cell]  4 Pd 2.76-2.86
Cd: 0.0000 0.0000 0.4917 [4 per cell]  4 Pd 2.73-2.74
Cd: 0.2500 0.5317 0.0065 [4 per cell]  6 Pd 2.74-2.93
Pd: 0.0439 0.2434 0.7450 [8 per cell]  2 Cd 2.73-2.74, 3 Pd 2.79-2.93, 2 Tb 2.82-2.86
Pd: 0.1522 0.7420 0.7540 [8 per cell]  2 Tb 2.76-2.77, 4 Pd 2.78-3.08, 2 Cd 2.93
Pd: 0.2500 0.2489 0.7555 [4 per cell]  2 Cd 2.74-2.76, 4 Pd 2.93-3.02

Output
* spin magnetization: 0.0 μB/f.u.
* energy of formation: -509 meV per atom

# 9
Here is a relaxed structure of Ac3Ga2Si from Alexandria. Energies are from PBE-GGA.

Cell lengths 12.8702, 4.2879, 13.3817 Å; angles 90.00, 90.00, 90.00 degrees
With the nearest neighbours (Å) after each atom.
Space group Pnma (No. 62)
Asymmetric unit:
Ac: 0.0709 0.2500 0.1241 [4 per cell]  5 Ga 3.30-3.66, 1 Si 3.38
Ac: 0.1141 0.7500 0.5511 [4 per cell]  3 Si 3.26-3.37, 5 Ga 3.35-3.42
Ac: 0.2005 0.2500 0.7876 [4 per cell]  2 Si 3.21, 4 Ga 3.32-3.41
Ga: 0.0357 0.7500 0.3127 [4 per cell]  2 Si 2.60
Ga: 0.1931 0.7500 0.9778 [4 per cell]  1 Si 2.66
Si: 0.1342 0.2500 0.3689 [4 per cell]  3 Ga 2.60-2.66

Output
* formation energy without anion corrections: -0.490 eV/atom
* spin magnetization: 0.0 μB/f.u.

# 10
Here is a relaxed structure of Pa2CuGe3 from Alexandria. Energies are from PBE-GGA.

Cell lengths 3.9550, 4.2213, 7.2038 Å; angles 90.00, 90.00, 90.00 degrees
With the nearest neighbours (Å) after each atom.
Space group Pmm2 (No. 25)
Asymmetric unit:
Pa: 0.0000 0.0000 0.0000 [1 per cell]  8 Ge 3.07-3.08, 4 Cu 3.18
Pa: 0.0000 0.5000 0.4860 [1 per cell]  2 Cu 3.09, 10 Ge 3.11-3.19
Cu: 0.5000 0.5000 0.8163 [1 per cell]  3 Ge 2.34-2.35
Ge: 0.5000 0.0000 0.3268 [1 per cell]  3 Ge 2.49-2.50
Ge: 0.5000 0.0000 0.6723 [1 per cell]  2 Cu 2.35, 1 Ge 2.49
Ge: 0.5000 0.5000 0.1417 [1 per cell]  1 Cu 2.34, 2 Ge 2.50

Output
* spin magnetization: 0.0 μB/f.u.
* energy of formation: -332 meV per atom

# 11
Here is a relaxed structure of Ga2TcAu from Alexandria. Energies are from PBE-GGA.

Cell lengths 4.2823, 4.2823, 3.3619 Å; angles 90.00, 90.00, 90.00 degrees
With the nearest neighbours (Å) after each atom.
Space group P4/mmm (No. 123)
Asymmetric unit:
Ga: 0.0000 0.5000 0.0000 [2 per cell]  4 Tc 2.72, 4 Au 2.72, 4 Ga 3.03
Tc: 0.0000 0.0000 0.5000 [1 per cell]  8 Ga 2.72, 4 Au 3.03
Au: 0.5000 0.5000 0.5000 [1 per cell]  8 Ga 2.72, 4 Tc 3.03

Output
* spin magnetization: 0.0 μB/f.u.
* energy of formation: -116 meV per atom

# 12
Here is a relaxed structure of BaAcRhBr from Alexandria. Energies are from PBE-GGA.

Cell lengths 4.3639, 4.3639, 25.4039 Å; angles 90.00, 90.00, 120.00 degrees
With the nearest neighbours (Å) after each atom.
Space group R3m (No. 160, hexagonal axes)
Asymmetric unit:
Ba: 0.0000 0.0000 0.0000 [3 per cell]  3 Rh 3.21, 3 Br 3.58
Ac: 0.0000 0.0000 0.8022 [3 per cell]  3 Rh 2.91
Rh: 0.0000 0.0000 0.4117 [3 per cell]  3 Ac 2.91, 3 Ba 3.21
Br: 0.0000 0.0000 0.2332 [3 per cell]  3 Ac 3.54, 3 Ba 3.58

Output
* formation energy without anion corrections: -1.043 eV/atom
* spin magnetization: 0.0 μB/f.u.